Material: La2Pr6Cd
Method: DFT, PBE-GGA
State: optimized geometry

Unit cell a=3.6014 b=9.9373 c=10.2618 alpha=118.96 beta=87.52 gamma=90.00
Sites, in units of the cell vectors:
La1 0.5447 0.6719 0.3439
La2 0.4553 0.3281 0.6561
Pr1 0.5000 0.7057 0.0000
Pr2 0.9966 0.6632 0.6719
Pr3 0.5000 0.2943 0.0000
Pr4 0.0034 0.9913 0.3281
Pr5 0.0034 0.3368 0.3281
Pr6 0.9966 0.0087 0.6719
Cd1 0.0000 0.0000 0.0000

Crystal system: monoclinic
VASP energy (eV per cell): -38.85
Magnetization (μB per atom): 0.000

Material: La7Pr12Cd
Method: DFT, PBE-GGA
State: optimized geometry

Unit cell a=9.0728 b=9.0728 c=9.0728 alpha=99.64 beta=99.64 gamma=99.64
Sites, in units of the cell vectors:
Pr1 0.8386 0.4068 0.4067
Pr2 0.7443 0.9996 0.2557
Pr3 0.7443 0.2557 0.0004
Pr4 0.9996 0.2557 0.7443
Pr5 0.2557 0.0004 0.7443
Pr6 0.4067 0.8386 0.4068
Pr7 0.1614 0.5932 0.5933
Pr8 0.0004 0.7443 0.2557
Pr9 0.5933 0.1614 0.5932
Pr10 0.2557 0.7443 0.9996
Pr11 0.4068 0.4067 0.8386
Pr12 0.5932 0.5933 0.1614
La1 0.8597 0.5907 0.8604
La2 0.4093 0.1396 0.1403
La3 0.8604 0.8597 0.5907
La4 0.5000 0.5000 0.5000
La5 0.1403 0.4093 0.1396
La6 0.5907 0.8604 0.8597
La7 0.1396 0.1403 0.4093
Cd1 0.0000 0.0000 0.0000

Crystal system: trigonal
VASP energy (eV per cell): -91.88
Magnetization (μB per atom): 0.000

Material: La2PrCd5
Method: DFT, PBE-GGA
State: optimized geometry

Unit cell a=5.2702 b=5.2702 c=8.7920 alpha=107.44 beta=107.44 gamma=90.00
Sites, in units of the cell vectors:
Cd1 0.3851 0.8851 0.7701
Cd2 0.1149 0.6149 0.2299
Cd3 0.6149 0.1149 0.2299
Cd4 0.5000 0.5000 0.0000
Cd5 0.8851 0.3851 0.7701
Pr1 0.0000 0.0000 0.0000
La1 0.2653 0.2653 0.5306
La2 0.7347 0.7347 0.4694

Crystal system: tetragonal
VASP energy (eV per cell): -21.80
Magnetization (μB per atom): 0.022

Material: La7PrCd4
Method: DFT, PBE-GGA
State: optimized geometry

Unit cell a=6.0181 b=9.3743 c=8.2088 alpha=70.71 beta=68.50 gamma=71.28
Sites, in units of the cell vectors:
La1 0.9335 0.4055 0.7275
La2 0.0665 0.5945 0.2725
La3 0.2022 0.1151 0.4804
La4 0.2640 0.6924 0.7796
La5 0.5000 0.0000 0.0000
La6 0.7360 0.3076 0.2204
La7 0.7978 0.8849 0.5196
Cd1 0.4600 0.7150 0.3650
Cd2 0.3173 0.3454 0.0201
Cd3 0.5400 0.2850 0.6350
Cd4 0.6827 0.6546 0.9799
Pr1 0.0000 0.0000 0.0000

Crystal system: monoclinic
VASP energy (eV per cell): -43.68
Magnetization (μB per atom): 0.027

Material: LaPrCdPt
Method: DFT, PBE-GGA
State: optimized geometry

Unit cell a=5.3262 b=5.3262 c=5.3262 alpha=60.00 beta=60.00 gamma=60.00
Sites, in units of the cell vectors:
La1 0.5000 0.5000 0.5000
Pr1 0.0000 0.0000 0.0000
Cd1 0.7500 0.7500 0.7500
Pt1 0.2500 0.2500 0.2500

Crystal system: cubic
VASP energy (eV per cell): -19.12
Magnetization (μB per atom): 0.000

Material: LaPrPuCd
Method: DFT, PBE-GGA
State: optimized geometry

Unit cell a=5.5784 b=5.5784 c=5.5784 alpha=60.00 beta=60.00 gamma=60.00
Sites, in units of the cell vectors:
Cd1 0.7500 0.7500 0.7500
Pr1 0.5000 0.5000 0.5000
Pu1 0.2500 0.2500 0.2500
La1 0.0000 0.0000 0.0000

Crystal system: cubic
VASP energy (eV per cell): -24.76
Magnetization (μB per atom): 1.568

Material: LaPrCdSb
Method: DFT, PBE-GGA
State: optimized geometry

Unit cell a=5.5204 b=5.5204 c=5.5204 alpha=60.00 beta=60.00 gamma=60.00
Sites, in units of the cell vectors:
Sb1 0.2500 0.2500 0.2500
Pr1 0.5000 0.5000 0.5000
La1 0.0000 0.0000 0.0000
Cd1 0.7500 0.7500 0.7500

Crystal system: cubic
VASP energy (eV per cell): -17.25
Magnetization (μB per atom): 0.000

Material: LaPrScCd
Method: DFT, PBE-GGA
State: optimized geometry

Unit cell a=5.5298 b=5.5298 c=5.5298 alpha=60.00 beta=60.00 gamma=60.00
Sites, in units of the cell vectors:
La1 0.0000 0.0000 0.0000
Sc1 0.2500 0.2500 0.2500
Cd1 0.7500 0.7500 0.7500
Pr1 0.5000 0.5000 0.5000

Crystal system: cubic
VASP energy (eV per cell): -17.21
Magnetization (μB per atom): 0.001

Material: LaPrScCd
Method: DFT, PBE-GGA
State: optimized geometry

Unit cell a=3.6189 b=3.6190 c=9.0445 alpha=90.00 beta=90.00 gamma=90.00
Sites, in units of the cell vectors:
Cd1 0.4271 0.0000 0.6937
La1 0.9270 0.5000 0.4368
Sc1 0.9270 0.5000 0.8757
Pr1 0.4269 0.0000 0.1330

Crystal system: tetragonal
VASP energy (eV per cell): -17.46
Magnetization (μB per atom): 0.000

Material: La2PrCdSe5
Method: DFT, PBE-GGA
State: optimized geometry

Unit cell a=4.2207 b=9.2845 c=12.8482 alpha=90.00 beta=90.00 gamma=103.14
Sites, in units of the cell vectors:
Cd1 0.5412 0.0824 0.9571
Cd2 0.4588 0.9176 0.4571
La1 0.1157 0.2313 0.6862
La2 0.8843 0.7687 0.1862
La3 0.8683 0.7365 0.8073
La4 0.1317 0.2635 0.3073
Pr1 0.2017 0.4034 0.0089
Pr2 0.7983 0.5966 0.5089
Se1 0.0443 0.0886 0.0765
Se2 0.4936 0.9872 0.7678
Se3 0.5064 0.0128 0.2678
Se4 0.6850 0.3699 0.8448
Se5 0.2888 0.5776 0.6741
Se6 0.6362 0.2725 0.5014
Se7 0.7112 0.4224 0.1741
Se8 0.9557 0.9114 0.5765
Se9 0.3150 0.6301 0.3448
Se10 0.3638 0.7275 0.0014

Crystal system: orthorhombic
VASP energy (eV per cell): -95.29
Magnetization (μB per atom): 0.000

Material: LaPrCdSi
Method: DFT, PBE-GGA
State: optimized geometry

Unit cell a=5.3487 b=5.3487 c=5.3487 alpha=60.00 beta=60.00 gamma=60.00
Sites, in units of the cell vectors:
Si1 0.7500 0.7500 0.7500
Cd1 0.2500 0.2500 0.2500
Pr1 0.0000 0.0000 0.0000
La1 0.5000 0.5000 0.5000

Crystal system: cubic
VASP energy (eV per cell): -17.64
Magnetization (μB per atom): 0.000

Material: La2Pr4SmCd2
Method: DFT, PBE-GGA
State: optimized geometry

Unit cell a=6.3834 b=8.4103 c=6.8987 alpha=112.95 beta=117.33 gamma=80.86
Sites, in units of the cell vectors:
Pr1 0.4033 0.2268 0.9837
Pr2 0.3026 0.3797 0.5342
Pr3 0.6974 0.6203 0.4658
Pr4 0.5967 0.7732 0.0163
Cd1 0.8709 0.4067 0.0532
Cd2 0.1291 0.5933 0.9468
La1 0.8052 0.1713 0.5158
La2 0.1948 0.8287 0.4842
Sm1 0.0000 0.0000 0.0000

Crystal system: triclinic
VASP energy (eV per cell): -35.97
Magnetization (μB per atom): 0.000